A geometry-optimized ErTh4Sc structure, computed with GGA-PBE.

Computed properties:
Electronic total energy: -0.4939 Ry per atom
Energy above the lowest structure with this stoichiometry: 0 meV per atom
ΔH_f (0 K): 0.98 kcal/mol of atoms

a = 3.5343 Å, b = 4.9157 Å, c = 10.5649 Å
α = 90.00°, β = 90.00°, γ = 90.00°
With the nearest neighbours (Å) after each atom.
Space group Pmmm (No. 47)
Asymmetric unit:
1 Er 0.0000 0.0000 0.0000 [1 per cell]  10 Th 3.52-3.59, 2 Er 3.53
2 Th 0.0000 0.0000 0.3397 [2 per cell]  7 Th 3.39-3.53, 4 Sc 3.47, 1 Er 3.59
3 Th 0.5000 0.5000 0.1708 [2 per cell]  1 Sc 3.48, 7 Th 3.51-3.61, 4 Er 3.52
4 Sc 0.5000 0.5000 0.5000 [1 per cell]  10 Th 3.47-3.48, 2 Sc 3.53

=====

A geometry-optimized Er2ThSc structure, computed with GGA-PBE.

Computed properties:
Electronic total energy: -0.4167 Ry per atom
Energy above the lowest structure with this stoichiometry: 21 meV per atom
ΔH_f (0 K): 1.13 kcal/mol of atoms

a = 3.4671 Å, b = 3.4671 Å, c = 9.8559 Å
α = 90.00°, β = 90.00°, γ = 90.00°
With the nearest neighbours (Å) after each atom.
Space group P4/mmm (No. 123)
Asymmetric unit:
1 Er 0.0000 0.0000 0.2425 [2 per cell]  4 Sc 3.42, 4 Er 3.47, 4 Th 3.53
2 Th 0.5000 0.5000 0.5000 [1 per cell]  4 Th 3.47, 8 Er 3.53
3 Sc 0.5000 0.5000 0.0000 [1 per cell]  8 Er 3.42, 4 Sc 3.47

=====

A geometry-optimized ErTh2Sc2 structure, computed with GGA-PBE.

Computed properties:
Electronic total energy: -0.4310 Ry per atom
Energy above the lowest structure with this stoichiometry: 506 meV per atom
ΔH_f (0 K): 12.66 kcal/mol of atoms

a = 5.7436 Å, b = 10.7899 Å, c = 21.0252 Å
α = 90.00°, β = 90.00°, γ = 90.00°
With the nearest neighbours (Å) after each atom.
Space group Fddd (No. 70, origin choice 2)
Asymmetric unit:
1 Er 0.1250 0.1250 0.1250 [8 per cell]  4 Sc 3.04, 4 Th 3.35
2 Th 0.1250 0.2842 0.6250 [16 per cell]  3 Er 3.35-3.68, 4 Sc 3.42-3.58, 3 Th 3.44-3.48
3 Sc 0.0000 0.0000 0.0000 [16 per cell]  2 Er 3.04, 2 Sc 3.06

=====

A geometry-optimized Er4Tm2ThSc structure, computed with GGA-PBE.

Computed properties:
Electronic total energy: -0.3730 Ry per atom
ΔH_f (0 K): 0.99 kcal/mol of atoms

a = 4.9123 Å, b = 4.9325 Å, c = 9.8757 Å
α = 90.00°, β = 90.00°, γ = 90.00°
With the nearest neighbours (Å) after each atom.
Space group Pmmm (No. 47)
Asymmetric unit:
1 Er 0.0000 0.0000 0.2463 [2 per cell]  4 Tm 3.46-3.52, 2 Sc 3.46, 4 Er 3.48, 2 Th 3.51
2 Er 0.5000 0.5000 0.2468 [2 per cell]  2 Sc 3.46, 4 Tm 3.47-3.51, 4 Er 3.48, 2 Th 3.51
3 Tm 0.0000 0.5000 0.5000 [1 per cell]  4 Th 3.48, 8 Er 3.51-3.52
4 Tm 0.5000 0.0000 0.0000 [1 per cell]  8 Er 3.46-3.47, 4 Sc 3.48
5 Th 0.5000 0.0000 0.5000 [1 per cell]  4 Tm 3.48, 8 Er 3.51
6 Sc 0.0000 0.5000 0.0000 [1 per cell]  8 Er 3.46, 4 Tm 3.48

=====

A geometry-optimized ErTmThSc3 structure, computed with GGA-PBE.

Computed properties:
Electronic total energy: -0.4308 Ry per atom
ΔH_f (0 K): 1.09 kcal/mol of atoms

a = 10.0879 Å, b = 3.4310 Å, c = 10.0929 Å
α = 90.00°, β = 108.30°, γ = 90.00°
With the nearest neighbours (Å) after each atom.
Space group P2_1/m (No. 11)
Asymmetric unit:
1 Er 0.2122 0.2500 0.3691 [2 per cell]  7 Sc 3.27-3.46, 3 Tm 3.39-3.47, 2 Er 3.43
2 Tm 0.1227 0.7500 0.6270 [2 per cell]  3 Sc 3.39-3.43, 3 Er 3.39-3.47, 2 Th 3.40, 4 Tm 3.41-3.43
3 Th 0.3742 0.2500 0.8712 [2 per cell]  6 Sc 3.34-3.38, 2 Tm 3.40, 4 Th 3.43-3.46
4 Sc 0.0423 0.2500 0.8812 [2 per cell]  7 Sc 3.27-3.43, 1 Th 3.38, 2 Tm 3.39, 2 Er 3.44
5 Sc 0.2907 0.7500 0.1176 [2 per cell]  3 Th 3.34-3.35, 7 Sc 3.34-3.43, 2 Er 3.36
6 Sc 0.4625 0.7500 0.6265 [2 per cell]  3 Er 3.27-3.46, 2 Th 3.35, 6 Sc 3.35-3.43, 1 Tm 3.43

=====

A geometry-optimized Er6Tm3ThSc2 structure, computed with GGA-PBE.

Computed properties:
Electronic total energy: -0.3700 Ry per atom
ΔH_f (0 K): 0.89 kcal/mol of atoms

a = 5.9927 Å, b = 10.3792 Å, c = 11.5556 Å
α = 90.00°, β = 99.96°, γ = 90.00°
With the nearest neighbours (Å) after each atom.
Space group C2/m (No. 12)
Asymmetric unit:
1 Er 0.2490 0.1664 0.2472 [8 per cell]  1 Th 3.45, 2 Sc 3.45, 6 Er 3.45-3.46, 3 Tm 3.50
2 Er 0.2501 0.0000 0.7529 [4 per cell]  1 Th 3.45, 2 Sc 3.45, 6 Er 3.45-3.46, 3 Tm 3.51
3 Tm 0.0000 0.1676 0.5000 [4 per cell]  6 Tm 3.45-3.48, 6 Er 3.50-3.51
4 Tm 0.0000 0.5000 0.5000 [2 per cell]  6 Tm 3.45-3.46, 6 Er 3.50-3.51
5 Th 0.0000 0.0000 0.0000 [2 per cell]  6 Er 3.45, 6 Sc 3.46
6 Sc 0.0000 0.3332 0.0000 [4 per cell]  6 Er 3.45, 3 Th 3.46, 3 Sc 3.46

=====

A geometry-optimized Er6Tm3Th2Sc structure, computed with GGA-PBE.

Computed properties:
Electronic total energy: -0.3775 Ry per atom
ΔH_f (0 K): 0.64 kcal/mol of atoms

a = 6.0487 Å, b = 10.4729 Å, c = 11.6161 Å
α = 90.00°, β = 100.02°, γ = 90.00°
With the nearest neighbours (Å) after each atom.
Space group C2/m (No. 12)
Asymmetric unit:
1 Er 0.2494 0.0000 0.2482 [4 per cell]  2 Th 3.48, 1 Sc 3.48, 6 Er 3.49, 3 Tm 3.51-3.52
2 Er 0.2491 0.3336 0.2481 [8 per cell]  1 Sc 3.48, 2 Th 3.48, 6 Er 3.48-3.49, 3 Tm 3.52
3 Tm 0.0000 0.0000 0.5000 [2 per cell]  6 Tm 3.49, 6 Er 3.52
4 Tm 0.0000 0.3336 0.5000 [4 per cell]  6 Tm 3.49, 6 Er 3.51-3.52
5 Th 0.0000 0.1665 0.0000 [4 per cell]  6 Er 3.48, 3 Th 3.49, 3 Sc 3.49
6 Sc 0.0000 0.5000 0.0000 [2 per cell]  6 Er 3.48, 6 Th 3.49

=====

A geometry-optimized ErTm3ThSc structure, computed with GGA-PBE.

Computed properties:
Electronic total energy: -0.3853 Ry per atom
ΔH_f (0 K): 1.07 kcal/mol of atoms

a = 4.9015 Å, b = 14.6495 Å, c = 9.9281 Å
α = 90.00°, β = 90.00°, γ = 90.00°
With the nearest neighbours (Å) after each atom.
Space group Cmcm (No. 63)
Asymmetric unit:
1 Er 0.0000 0.0000 0.0000 [4 per cell]  6 Tm 3.45-3.50, 2 Sc 3.47, 4 Th 3.49
2 Tm 0.0000 0.1688 0.2500 [4 per cell]  2 Sc 3.45, 6 Tm 3.47-3.49, 2 Er 3.50, 2 Th 3.51
3 Tm 0.0000 0.3343 0.9996 [8 per cell]  2 Er 3.45, 2 Th 3.45-3.49, 5 Tm 3.47-3.49, 3 Sc 3.49-3.50
4 Th 0.0000 0.4976 0.2500 [4 per cell]  2 Sc 3.42, 6 Tm 3.45-3.51, 4 Er 3.49
5 Sc 0.0000 0.1656 0.7500 [4 per cell]  2 Th 3.42, 8 Tm 3.45-3.50, 2 Er 3.47

=====

A geometry-optimized ErTmThSc structure, computed with GGA-PBE.

Computed properties:
Electronic total energy: -0.4174 Ry per atom
Energy above the lowest structure with this stoichiometry: 0 meV per atom
ΔH_f (0 K): 0.41 kcal/mol of atoms

a = 3.5157 Å, b = 3.5157 Å, c = 32.9658 Å
α = 90.00°, β = 90.00°, γ = 120.00°
With the nearest neighbours (Å) after each atom.
Space group R3m (No. 160, hexagonal axes)
Asymmetric unit:
1 Er 0.0000 0.0000 0.0000 [3 per cell]  3 Th 3.46, 3 Tm 3.49, 6 Er 3.52
2 Tm 0.0000 0.0000 0.2473 [3 per cell]  3 Sc 3.36, 3 Er 3.49, 6 Tm 3.52
3 Th 0.0000 0.0000 0.4183 [3 per cell]  3 Sc 3.35, 3 Er 3.46, 6 Th 3.52
4 Sc 0.0000 0.0000 0.8326 [3 per cell]  3 Th 3.35, 3 Tm 3.36, 6 Sc 3.52

=====

A geometry-optimized ErTm2ThSc5 structure, computed with GGA-PBE.

Computed properties:
Electronic total energy: -0.4163 Ry per atom
ΔH_f (0 K): 4.12 kcal/mol of atoms

a = 5.3642 Å, b = 19.5657 Å, c = 9.5869 Å
α = 90.00°, β = 90.00°, γ = 90.00°
With the nearest neighbours (Å) after each atom.
Space group Cmc2_1 (No. 36)
Asymmetric unit:
1 Er 0.0000 0.2043 0.0000 [4 per cell]  6 Sc 3.23-3.53, 2 Tm 3.37-3.43, 2 Th 3.58
2 Tm 0.0000 0.1067 0.2967 [4 per cell]  9 Sc 3.05-3.34
3 Tm 0.0000 0.1337 0.6797 [4 per cell]  6 Sc 3.27-3.65, 1 Er 3.37, 2 Th 3.49
4 Th 0.0000 0.4064 0.3982 [4 per cell]  5 Sc 2.91-3.22
5 Sc 0.0000 0.0170 0.0001 [4 per cell]  3 Tm 3.11-3.41, 2 Th 3.22, 2 Sc 3.31
6 Sc 0.0000 0.2619 0.3248 [4 per cell]  1 Th 2.91, 1 Tm 3.05, 2 Er 3.23, 2 Sc 3.25
7 Sc 0.0000 0.3089 0.6995 [4 per cell]  4 Sc 3.24-3.36, 3 Tm 3.28-3.43, 3 Er 3.30-3.53, 1 Th 3.46
8 Sc 0.0000 0.3999 0.9968 [4 per cell]  3 Sc 3.14-3.36, 4 Tm 3.27-3.30
9 Sc 0.0000 0.4745 0.7013 [4 per cell]  2 Th 3.00-3.20, 5 Sc 3.14-3.31, 2 Tm 3.25

=====

A geometry-optimized ErTm2ThSc2 structure, computed with GGA-PBE.

Computed properties:
Electronic total energy: -0.3985 Ry per atom
ΔH_f (0 K): 4.08 kcal/mol of atoms

a = 6.2661 Å, b = 6.7257 Å, c = 8.3931 Å
α = 90.00°, β = 97.66°, γ = 90.00°
With the nearest neighbours (Å) after each atom.
Space group P2_1/m (No. 11)
Asymmetric unit:
1 Er 0.1851 0.2500 0.1565 [2 per cell]  2 Sc 3.22-3.25, 3 Th 3.37-3.44, 6 Tm 3.47-3.58
2 Tm 0.3075 0.0007 0.8188 [4 per cell]  3 Tm 3.35-3.62, 4 Sc 3.42-3.60, 3 Er 3.47-3.58, 3 Th 3.51-3.60
3 Th 0.1996 0.7500 0.1770 [2 per cell]  2 Sc 3.13-3.14, 3 Er 3.37-3.44
4 Sc 0.0175 0.7500 0.5071 [2 per cell]  4 Sc 3.13-3.37, 1 Th 3.13, 1 Er 3.25, 2 Tm 3.42
5 Sc 0.4847 0.2500 0.4992 [2 per cell]  4 Sc 3.13-3.37, 1 Th 3.14, 1 Er 3.22, 2 Tm 3.47

=====

Total magnetic moment (computed, μB/f.u.): 0.00, 0.00, 0.00, 0.00, 0.00, 0.00, 0.00, 0.00, 0.21, 0.00, 0.00